Crystalline K12Sr3H5 at its relaxed geometry. Source: Alexandria, functional PBE.

Values from the calculation:
Calculated volume   48.71 Å³/atom
Symmetry   No. 230
Total DFT energy (no corrections)   -127.248 eV for the cell shown

The structure in CIF format:
```
data_K12Sr3H5
_chemical_formula_sum 'K48 Sr12 H20'
_cell_length_a 17.1707
_cell_length_b 17.1707
_cell_length_c 17.1707
_cell_angle_alpha 109.47
_cell_angle_beta 109.47
_cell_angle_gamma 109.47
_symmetry_space_group_name_H-M 'P 1'
_symmetry_Int_Tables_number 1
_symmetry_space_group_name_Hall 'P 1'
loop_
_atom_site_label
_atom_site_type_symbol
_atom_site_fract_x
_atom_site_fract_y
_atom_site_fract_z
_atom_site_occupancy
K1 K 0.0181 0.6956 0.1086 1
K2 K 0.0181 0.8224 0.9095 1
K3 K 0.0871 0.6776 0.6956 1
K4 K 0.0871 0.9095 0.3914 1
K5 K 0.0905 0.6086 0.9129 1
K6 K 0.0905 0.9819 0.1776 1
K7 K 0.1086 0.0181 0.6956 1
K8 K 0.1086 0.5905 0.4129 1
K9 K 0.1776 0.0905 0.9819 1
K10 K 0.1776 0.5871 0.1956 1
K11 K 0.1956 0.1776 0.5871 1
K12 K 0.1956 0.5181 0.6086 1
K13 K 0.3044 0.8914 0.9819 1
K14 K 0.3044 0.9129 0.3224 1
K15 K 0.3224 0.3044 0.9129 1
K16 K 0.3224 0.5181 0.4095 1
K17 K 0.3914 0.0871 0.9095 1
K18 K 0.3914 0.8044 0.4819 1
K19 K 0.4095 0.3224 0.5181 1
K20 K 0.4095 0.5871 0.8914 1
K21 K 0.4129 0.1086 0.5905 1
K22 K 0.4129 0.8044 0.8224 1
K23 K 0.4819 0.3914 0.8044 1
K24 K 0.4819 0.5905 0.6776 1
K25 K 0.5181 0.4095 0.3224 1
K26 K 0.5181 0.6086 0.1956 1
K27 K 0.5871 0.1956 0.1776 1
K28 K 0.5871 0.8914 0.4095 1
K29 K 0.5905 0.4129 0.1086 1
K30 K 0.5905 0.6776 0.4819 1
K31 K 0.6086 0.1956 0.5181 1
K32 K 0.6086 0.9129 0.0905 1
K33 K 0.6776 0.4819 0.5905 1
K34 K 0.6776 0.6956 0.0871 1
K35 K 0.6956 0.0871 0.6776 1
K36 K 0.6956 0.1086 0.0181 1
K37 K 0.8044 0.4819 0.3914 1
K38 K 0.8044 0.8224 0.4129 1
K39 K 0.8224 0.4129 0.8044 1
K40 K 0.8224 0.9095 0.0181 1
K41 K 0.8914 0.4095 0.5871 1
K42 K 0.8914 0.9819 0.3044 1
K43 K 0.9095 0.0181 0.8224 1
K44 K 0.9095 0.3914 0.0871 1
K45 K 0.9129 0.0905 0.6086 1
K46 K 0.9129 0.3224 0.3044 1
K47 K 0.9819 0.1776 0.0905 1
K48 K 0.9819 0.3044 0.8914 1
Sr1 Sr 0.1250 0.2500 0.3750 1
Sr2 Sr 0.1250 0.3750 0.7500 1
Sr3 Sr 0.2500 0.3750 0.1250 1
Sr4 Sr 0.2500 0.8750 0.6250 1
Sr5 Sr 0.3750 0.1250 0.2500 1
Sr6 Sr 0.3750 0.7500 0.1250 1
Sr7 Sr 0.6250 0.2500 0.8750 1
Sr8 Sr 0.6250 0.8750 0.7500 1
Sr9 Sr 0.7500 0.1250 0.3750 1
Sr10 Sr 0.7500 0.6250 0.8750 1
Sr11 Sr 0.8750 0.6250 0.2500 1
Sr12 Sr 0.8750 0.7500 0.6250 1
H1 H 0.0000 0.0000 0.0000 1
H2 H 0.0000 0.0000 0.5000 1
H3 H 0.0000 0.5000 0.0000 1
H4 H 0.0000 0.5000 0.5000 1
H5 H 0.1250 0.7500 0.8750 1
H6 H 0.1250 0.8750 0.2500 1
H7 H 0.2500 0.1250 0.8750 1
H8 H 0.2500 0.6250 0.3750 1
H9 H 0.3750 0.2500 0.6250 1
H10 H 0.3750 0.6250 0.7500 1
H11 H 0.5000 0.0000 0.0000 1
H12 H 0.5000 0.0000 0.5000 1
H13 H 0.5000 0.5000 0.0000 1
H14 H 0.5000 0.5000 0.5000 1
H15 H 0.6250 0.3750 0.2500 1
H16 H 0.6250 0.7500 0.3750 1
H17 H 0.7500 0.3750 0.6250 1
H18 H 0.7500 0.8750 0.1250 1
H19 H 0.8750 0.1250 0.7500 1
H20 H 0.8750 0.2500 0.1250 1
```